(1)
Below is a geometry-optimized AcPm5Te8 structure, with properties calculated at the PBE-GGA level.

For the spin magnetization, the calculation gives 0.013 μB per cell. The calculation puts the density of states at the Fermi level at 0.725 states/eV/atom. Its uncorrected formation energy is -1.286 eV/atom.

It has space group F-43m (No. 216), with a = 13.231 Å, b = 13.231 Å, c = 13.231 Å, α = 90.00°, β = 90.00° and γ = 90.00°. The inequivalent atoms are Ac at (0.000, 0.000, 0.000), Pm at (0.122, 0.122, 0.378), Pm at (0.250, 0.250, 0.750), Te at (0.118, 0.118, 0.618) and Te at (0.138, 0.138, 0.138).

(2)
Below is a geometry-optimized Rb4Hg3F12 structure, with properties calculated at the PBE-GGA level.

For the spin magnetization, the calculation gives 4.093 μB per cell. The calculation puts the density of states at the Fermi level at 0.424 states/eV/atom. Its uncorrected formation energy is -1.890 eV/atom.

It has space group Im-3 (No. 204), with a = 9.865 Å, b = 9.865 Å, c = 9.865 Å, α = 90.00°, β = 90.00° and γ = 90.00°. The inequivalent atoms are Rb at (0.250, 0.250, 0.250), Hg at (0.000, 0.000, 0.500) and F at (0.000, 0.156, 0.351).

(3)
Below is a geometry-optimized BaAgHgOs2 structure, with properties calculated at the PBE-GGA level.

For the spin magnetization, the calculation gives 3.123 μB per cell. The calculation puts the density of states at the Fermi level at 1.035 states/eV/atom. The distance to the lowest polymorph of the same formula comes out at 1.1653 eV/atom.

It has space group P4/mmm (No. 123), with a = 5.243 Å, b = 5.243 Å, c = 5.801 Å, α = 90.00°, β = 90.00° and γ = 90.00°. The inequivalent atoms are Ba at (0.000, 0.000, 0.000), Ag at (0.000, 0.000, 0.500), Hg at (0.500, 0.500, 0.500) and Os at (0.000, 0.500, 0.000).